(one)
Computed, not measured: a crystal of La2TlSe relaxed with PBEsol at the SCAN level of DFT.

DOS at the Fermi energy in states/eV/atom: 0.53

a = 8.307 Å, b = 8.307 Å, c = 8.307 Å
α = 29.35°, β = 29.35°, γ = 29.35°
Atoms (fractional coordinates):
La 0.241 0.241 0.241
La 0.759 0.759 0.759
Tl 0.000 0.000 0.000
Se 0.500 0.500 0.500


(two)
Computed, not measured: a crystal of La2TlSe relaxed with PBEsol at the SCAN level of DFT.

DOS at the Fermi energy in states/eV/atom: 0.76

a = 6.370 Å, b = 6.370 Å, c = 6.370 Å
α = 139.00°, β = 139.00°, γ = 59.38°
Atoms (fractional coordinates):
La 0.000 0.000 0.000
La 0.750 0.250 0.500
Tl 0.250 0.750 0.500
Se 0.500 0.500 0.000


The structure with the most favorable energy is (one); the runner-up is 389 meV/atom above it.


(one)
Computed, not measured: a crystal of LaWSe2 relaxed with PBEsol at the SCAN level of DFT.

DOS at the Fermi energy in states/eV/atom: 0.56

a = 4.802 Å, b = 4.802 Å, c = 3.412 Å
α = 90.00°, β = 90.00°, γ = 90.00°
Atoms (fractional coordinates):
La 0.000 0.000 0.000
W 0.500 0.500 0.000
Se 0.000 0.500 0.500
Se 0.500 0.000 0.500


(two)
Computed, not measured: a crystal of LaWSe2 relaxed with PBEsol at the SCAN level of DFT.

DOS at the Fermi energy in states/eV/atom: 0.73

a = 3.362 Å, b = 3.991 Å, c = 6.390 Å
α = 90.00°, β = 90.13°, γ = 90.00°
Atoms (fractional coordinates):
La 0.000 0.000 0.000
W 0.500 0.000 0.500
Se 0.498 0.500 0.740
Se 0.502 0.500 0.260


The structure with the most favorable energy is (two); the runner-up is 85 meV/atom above it.


(one)
Computed, not measured: a crystal of LaYSe2 relaxed with PBEsol at the SCAN level of DFT.

DOS at the Fermi energy in states/eV/atom: 0.49

a = 7.301 Å, b = 7.301 Å, c = 7.301 Å
α = 32.52°, β = 32.52°, γ = 32.52°
Atoms (fractional coordinates):
La 0.000 0.000 0.000
Y 0.500 0.500 0.500
Se 0.244 0.244 0.244
Se 0.756 0.756 0.756


(two)
Computed, not measured: a crystal of LaYSe2 relaxed with PBEsol at the SCAN level of DFT.

DOS at the Fermi energy in states/eV/atom: 0.70

a = 7.017 Å, b = 7.017 Å, c = 7.017 Å
α = 146.21°, β = 146.21°, γ = 48.53°
Atoms (fractional coordinates):
La 0.000 0.000 0.000
Y 0.750 0.250 0.500
Se 0.250 0.750 0.500
Se 0.500 0.500 0.000


(three)
Computed, not measured: a crystal of LaYSe2 relaxed with PBEsol at the SCAN level of DFT.

DOS at the Fermi energy in states/eV/atom: 0.54

a = 4.148 Å, b = 4.148 Å, c = 5.870 Å
α = 90.00°, β = 90.00°, γ = 90.00°
Atoms (fractional coordinates):
La 0.000 0.000 0.000
Y 0.500 0.500 0.500
Se 0.000 0.000 0.500
Se 0.500 0.500 0.000


The structure with the most favorable energy is (one); the runner-up is 49 meV/atom above it.


(one)
Computed, not measured: a crystal of La5Si3 relaxed with PBEsol at the SCAN level of DFT.

DOS at the Fermi energy in states/eV/atom: 0.75

a = 8.789 Å, b = 8.789 Å, c = 8.789 Å
α = 126.44°, β = 126.44°, γ = 79.16°
Atoms (fractional coordinates):
La 0.000 0.000 0.000
La 0.031 0.531 0.860
La 0.171 0.031 0.500
La 0.329 0.829 0.860
La 0.469 0.329 0.500
La 0.500 0.500 0.000
La 0.531 0.671 0.500
La 0.671 0.171 0.140
La 0.829 0.969 0.500
La 0.969 0.469 0.140
Si 0.112 0.388 0.500
Si 0.250 0.250 0.000
Si 0.388 0.888 0.275
Si 0.612 0.112 0.725
Si 0.750 0.750 0.000
Si 0.888 0.612 0.500


(two)
Computed, not measured: a crystal of La5Si3 relaxed with PBEsol at the SCAN level of DFT.

DOS at the Fermi energy in states/eV/atom: 0.69

a = 8.869 Å, b = 8.869 Å, c = 6.687 Å
α = 90.00°, β = 90.00°, γ = 120.00°
Atoms (fractional coordinates):
La 0.000 0.255 0.250
La 0.000 0.745 0.750
La 0.255 0.000 0.250
La 0.255 0.255 0.750
La 0.333 0.667 0.000
La 0.333 0.667 0.500
La 0.667 0.333 0.000
La 0.667 0.333 0.500
La 0.745 0.000 0.750
La 0.745 0.745 0.250
Si 0.000 0.390 0.750
Si 0.000 0.610 0.250
Si 0.390 0.000 0.750
Si 0.390 0.390 0.250
Si 0.610 0.000 0.250
Si 0.610 0.610 0.750


The structure with the most favorable energy is (one); the runner-up is 31 meV/atom above it.


(one)
Computed, not measured: a crystal of LaTl2Si relaxed with PBEsol at the SCAN level of DFT.

DOS at the Fermi energy in states/eV/atom: 0.48

a = 5.245 Å, b = 5.245 Å, c = 5.245 Å
α = 60.00°, β = 60.00°, γ = 60.00°
Atoms (fractional coordinates):
La 0.000 0.000 0.000
Tl 0.250 0.250 0.250
Tl 0.750 0.750 0.750
Si 0.500 0.500 0.500


(two)
Computed, not measured: a crystal of LaTl2Si relaxed with PBEsol at the SCAN level of DFT.

DOS at the Fermi energy in states/eV/atom: 0.60

a = 4.099 Å, b = 6.202 Å, c = 6.202 Å
α = 42.54°, β = 90.00°, γ = 90.00°
Atoms (fractional coordinates):
La 0.000 0.000 0.000
Tl 0.000 0.282 0.282
Tl 0.500 0.703 0.703
Si 0.500 0.459 0.459


(three)
Computed, not measured: a crystal of LaTl2Si relaxed with PBEsol at the SCAN level of DFT.

DOS at the Fermi energy in states/eV/atom: 0.44

a = 6.150 Å, b = 6.150 Å, c = 6.150 Å
α = 142.44°, β = 134.33°, γ = 60.56°
Atoms (fractional coordinates):
La 0.000 0.000 0.000
Tl 0.277 0.777 0.500
Tl 0.723 0.223 0.500
Si 0.500 0.500 0.000


The structure with the most favorable energy is (two); the runner-up is 14 meV/atom above it.


(one)
Computed, not measured: a crystal of SrLa2 relaxed with PBEsol at the SCAN level of DFT.

DOS at the Fermi energy in states/eV/atom: 1.12

a = 8.688 Å, b = 8.688 Å, c = 8.688 Å
α = 155.05°, β = 155.05°, γ = 35.57°
Atoms (fractional coordinates):
Sr 0.000 0.000 0.000
La 0.321 0.321 0.000
La 0.679 0.679 0.000


(two)
Computed, not measured: a crystal of SrLa2 relaxed with PBEsol at the SCAN level of DFT.

DOS at the Fermi energy in states/eV/atom: 1.45

a = 6.834 Å, b = 6.834 Å, c = 6.834 Å
α = 148.70°, β = 135.80°, γ = 55.15°
Atoms (fractional coordinates):
Sr 0.000 0.000 0.000
La 0.309 0.309 0.000
La 0.691 0.691 0.000


The structure with the most favorable energy is (one); the runner-up is 59 meV/atom above it.


(one)
Computed, not measured: a crystal of SrLa2Ta relaxed with PBEsol at the SCAN level of DFT.

DOS at the Fermi energy in states/eV/atom: 1.00

a = 5.438 Å, b = 5.438 Å, c = 5.438 Å
α = 119.81°, β = 119.81°, γ = 90.33°
Atoms (fractional coordinates):
Sr 0.000 0.000 0.000
La 0.250 0.750 0.500
La 0.750 0.250 0.500
Ta 0.500 0.500 0.000


(two)
Computed, not measured: a crystal of SrLa2Ta relaxed with PBEsol at the SCAN level of DFT.

DOS at the Fermi energy in states/eV/atom: 1.04

a = 5.486 Å, b = 5.486 Å, c = 6.912 Å
α = 96.19°, β = 96.19°, γ = 35.09°
Atoms (fractional coordinates):
Sr 0.000 0.000 0.000
La 0.235 0.235 0.708
La 0.765 0.765 0.292
Ta 0.500 0.500 0.500


The structure with the most favorable energy is (two); the runner-up is 50 meV/atom above it.


(one)
Computed, not measured: a crystal of Sr2LaW relaxed with PBEsol at the SCAN level of DFT.

DOS at the Fermi energy in states/eV/atom: 1.08

a = 6.189 Å, b = 6.189 Å, c = 6.189 Å
α = 135.13°, β = 135.13°, γ = 65.33°
Atoms (fractional coordinates):
Sr 0.250 0.750 0.500
Sr 0.750 0.250 0.500
La 0.000 0.000 0.000
W 0.500 0.500 0.000


(two)
Computed, not measured: a crystal of Sr2LaW relaxed with PBEsol at the SCAN level of DFT.

DOS at the Fermi energy in states/eV/atom: 1.14

a = 12.329 Å, b = 12.329 Å, c = 12.329 Å
α = 15.52°, β = 15.52°, γ = 15.52°
Atoms (fractional coordinates):
Sr 0.237 0.237 0.237
Sr 0.763 0.763 0.763
La 0.000 0.000 0.000
W 0.500 0.500 0.500


The structure with the most favorable energy is (one); the runner-up is 67 meV/atom above it.